1:
Cs2TlAu2 after structural relaxation, computed with PBE.

Results
Total magnetization: 0.0 μB per formula unit

Cell: 7.163 7.065 9.010 Å, 102.31 90.00 120.46°
Atoms (fractional coordinates):
Cs  0.508  0.289  0.132
Cs  0.219  0.711  0.368
Cs  0.492  0.711  0.868
Cs  0.781  0.289  0.632
Tl  0.903  0.000  0.250
Tl  0.097  0.000  0.750
Au  0.711  0.709  0.506
Au  0.001  0.291  0.994
Au  0.289  0.291  0.494
Au  0.999  0.709  0.006

=====

2:
Cs2TlAu2 after structural relaxation, computed with PBE.

Results
Total magnetization: 0.8 μB per formula unit

Cell: 5.551 5.551 8.220 Å, 70.27 70.27 90.00°
Atoms (fractional coordinates):
Cs  0.750  0.250  0.500
Cs  0.250  0.750  0.500
Tl  0.000  0.000  0.000
Au  0.403  0.403  0.193
Au  0.597  0.597  0.807

=====

3:
Cs2TlAu2 after structural relaxation, computed with PBE.

Results
Total magnetization: 0.0 μB per formula unit

Cell: 10.218 10.218 3.904 Å, 90.00 90.00 90.00°
Atoms (fractional coordinates):
Cs  0.362  0.862  0.000
Cs  0.862  0.638  0.000
Cs  0.638  0.138  0.000
Cs  0.138  0.362  0.000
Tl  0.000  0.000  0.000
Tl  0.500  0.500  0.000
Au  0.162  0.662  0.500
Au  0.662  0.838  0.500
Au  0.838  0.338  0.500
Au  0.338  0.162  0.500

=====

4:
Cs2TlAu2 after structural relaxation, computed with PBE.

Results
Total magnetization: 0.0 μB per formula unit

Cell: 8.329 8.329 5.456 Å, 90.00 90.00 90.00°
Atoms (fractional coordinates):
Cs  0.173  0.673  0.500
Cs  0.673  0.827  0.500
Cs  0.827  0.327  0.500
Cs  0.327  0.173  0.500
Tl  0.000  0.000  0.000
Tl  0.500  0.500  0.000
Au  0.375  0.875  0.000
Au  0.875  0.625  0.000
Au  0.625  0.125  0.000
Au  0.125  0.375  0.000

=====

Relative energies with respect to the most stable structure, expressed in eV/atom: 1 0.000; 2 0.320; 3 0.221; 4 0.059.

=====

1:
CsTl8Au2 after structural relaxation, computed with PBE.

Results
Total magnetization: 0.0 μB per formula unit

Cell: 6.641 6.641 10.306 Å, 90.00 90.00 90.00°
Atoms (fractional coordinates):
Cs  0.500  0.500  0.500
Tl  0.752  0.752  0.184
Tl  0.752  0.248  0.816
Tl  0.752  0.752  0.816
Tl  0.752  0.248  0.184
Tl  0.248  0.752  0.184
Tl  0.248  0.752  0.816
Tl  0.248  0.248  0.184
Tl  0.248  0.248  0.816
Au  0.500  0.000  0.000
Au  0.000  0.500  0.000

=====

2:
CsTl8Au2 after structural relaxation, computed with PBE.

Results
Total magnetization: 0.0 μB per formula unit

Cell: 6.018 8.104 8.104 Å, 109.83 97.16 97.16°
Atoms (fractional coordinates):
Cs  0.500  0.000  0.000
Tl  0.894  0.908  0.655
Tl  0.894  0.655  0.908
Tl  0.283  0.589  0.589
Tl  0.500  0.725  0.275
Tl  0.500  0.275  0.725
Tl  0.717  0.411  0.411
Tl  0.106  0.345  0.092
Tl  0.106  0.092  0.345
Au  0.000  0.298  0.702
Au  0.000  0.702  0.298

=====

Relative energies with respect to the most stable structure, expressed in eV/atom: 1 0.037; 2 0.000.

=====

1:
Cs3TlAu3 after structural relaxation, computed with PBE.

Results
Total magnetization: 0.0 μB per formula unit

Cell: 5.140 7.037 16.486 Å, 86.90 81.03 68.58°
Atoms (fractional coordinates):
Cs  0.510  0.348  0.632
Cs  0.490  0.652  0.368
Cs  0.253  0.260  0.233
Cs  0.747  0.740  0.767
Cs  0.396  0.282  0.925
Cs  0.604  0.718  0.075
Tl  0.756  0.071  0.417
Tl  0.244  0.929  0.583
Au  0.882  0.708  0.528
Au  0.118  0.292  0.472
Au  0.100  0.878  0.922
Au  0.900  0.122  0.078
Au  0.947  0.873  0.232
Au  0.053  0.127  0.768

=====

2:
Cs3TlAu3 after structural relaxation, computed with PBE.

Results
Total magnetization: 0.0 μB per formula unit

Cell: 7.232 11.389 11.388 Å, 120.47 90.00 90.00°
Atoms (fractional coordinates):
Cs  0.250  0.639  0.818
Cs  0.250  0.180  0.361
Cs  0.250  0.181  0.820
Cs  0.750  0.361  0.182
Cs  0.750  0.820  0.639
Cs  0.750  0.819  0.180
Tl  0.750  0.333  0.667
Tl  0.250  0.667  0.333
Au  0.750  0.628  0.812
Au  0.750  0.186  0.372
Au  0.750  0.187  0.815
Au  0.250  0.372  0.188
Au  0.250  0.814  0.628
Au  0.250  0.813  0.185

=====

Relative energies with respect to the most stable structure, expressed in eV/atom: 1 0.000; 2 0.121.

=====

1:
CsTl3Au2 after structural relaxation, computed with PBE.

Results
Total magnetization: 0.0 μB per formula unit

Cell: 5.877 8.165 8.165 Å, 105.23 90.00 90.00°
Atoms (fractional coordinates):
Cs  0.250  0.352  0.352
Cs  0.750  0.648  0.648
Tl  0.750  0.445  0.077
Tl  0.750  0.077  0.445
Tl  0.250  0.555  0.923
Tl  0.750  0.046  0.046
Tl  0.250  0.954  0.954
Tl  0.250  0.923  0.555
Au  0.500  0.761  0.239
Au  0.000  0.761  0.239
Au  0.000  0.239  0.761
Au  0.500  0.239  0.761

=====

2:
CsTl3Au2 after structural relaxation, computed with PBE.

Results
Total magnetization: 0.0 μB per formula unit

Cell: 5.078 10.361 9.467 Å, 123.94 90.00 104.19°
Atoms (fractional coordinates):
Cs  0.156  0.313  0.246
Cs  0.844  0.687  0.754
Tl  0.681  0.362  0.938
Tl  0.029  0.057  0.720
Tl  0.407  0.815  0.485
Tl  0.593  0.185  0.515
Tl  0.971  0.943  0.280
Tl  0.319  0.638  0.062
Au  0.519  0.039  0.882
Au  0.481  0.961  0.118
Au  0.172  0.345  0.705
Au  0.828  0.655  0.295

=====

Relative energies with respect to the most stable structure, expressed in eV/atom: 1 0.059; 2 0.000.

=====

1:
Cs3Tl3Au2 after structural relaxation, computed with PBE.

Results
Total magnetization: 0.0 μB per formula unit

Cell: 7.121 10.030 18.901 Å, 90.00 90.00 90.00°
Atoms (fractional coordinates):
Cs  0.054  0.457  0.391
Cs  0.554  0.043  0.609
Cs  0.946  0.543  0.891
Cs  0.446  0.957  0.109
Cs  0.946  0.543  0.609
Cs  0.446  0.957  0.391
Cs  0.054  0.457  0.109
Cs  0.554  0.043  0.891
Cs  0.614  0.293  0.250
Cs  0.114  0.207  0.750
Cs  0.386  0.707  0.750
Cs  0.886  0.793  0.250
Tl  0.115  0.145  0.250
Tl  0.615  0.355  0.750
Tl  0.885  0.855  0.750
Tl  0.385  0.645  0.250
Tl  0.543  0.332  0.473
Tl  0.043  0.168  0.527
Tl  0.457  0.668  0.973
Tl  0.957  0.832  0.027
Tl  0.457  0.668  0.527
Tl  0.957  0.832  0.473
Tl  0.543  0.332  0.027
Tl  0.043  0.168  0.973
Au  0.948  0.077  0.383
Au  0.448  0.423  0.617
Au  0.052  0.923  0.883
Au  0.552  0.577  0.117
Au  0.052  0.923  0.617
Au  0.552  0.577  0.383
Au  0.948  0.077  0.117
Au  0.448  0.423  0.883

=====

2:
Cs3Tl3Au2 after structural relaxation, computed with PBE.

Results
Total magnetization: 0.0 μB per formula unit

Cell: 4.968 7.556 18.512 Å, 90.00 90.00 109.19°
Atoms (fractional coordinates):
Cs  0.949  0.898  0.395
Cs  0.051  0.102  0.895
Cs  0.949  0.898  0.105
Cs  0.051  0.102  0.605
Cs  0.634  0.267  0.250
Cs  0.366  0.733  0.750
Tl  0.673  0.346  0.462
Tl  0.327  0.654  0.962
Tl  0.673  0.346  0.038
Tl  0.327  0.654  0.538
Tl  0.340  0.680  0.250
Tl  0.660  0.320  0.750
Au  0.757  0.514  0.889
Au  0.243  0.486  0.389
Au  0.757  0.514  0.611
Au  0.243  0.486  0.111

=====

Relative energies with respect to the most stable structure, expressed in eV/atom: 1 0.032; 2 0.000.

=====

1:
CsTlAu3 after structural relaxation, computed with PBE.

Results
Total magnetization: 0.0 μB per formula unit

Cell: 5.861 5.559 9.739 Å, 106.58 90.00 90.00°
Atoms (fractional coordinates):
Cs  0.750  0.199  0.399
Cs  0.250  0.801  0.601
Tl  0.750  0.555  0.109
Tl  0.250  0.445  0.891
Au  0.750  0.635  0.786
Au  0.750  0.151  0.786
Au  0.250  0.849  0.214
Au  0.250  0.365  0.214
Au  0.000  0.000  0.000
Au  0.500  0.000  0.000

=====

2:
CsTlAu3 after structural relaxation, computed with PBE.

Results
Total magnetization: 0.0 μB per formula unit

Cell: 6.237 6.237 6.237 Å, 90.00 90.00 90.00°
Atoms (fractional coordinates):
Cs  0.000  0.000  0.000
Tl  0.500  0.500  0.500
Au  0.000  0.500  0.000
Au  0.000  0.000  0.500
Au  0.500  0.000  0.000

=====

Relative energies with respect to the most stable structure, expressed in eV/atom: 1 0.000; 2 0.995.

=====

1:
CsTlAu3 after structural relaxation, computed with PBE.

Results
Total magnetization: 0.0 μB per formula unit

Cell: 7.292 7.603 12.007 Å, 65.00 90.00 90.00°
Atoms (fractional coordinates):
Cs  0.000  0.000  0.500
Cs  0.500  0.500  0.000
Cs  0.500  0.000  0.000
Cs  0.000  0.500  0.500
Tl  0.560  0.348  0.398
Tl  0.940  0.848  0.898
Tl  0.440  0.652  0.602
Tl  0.060  0.152  0.102
Au  0.282  0.996  0.749
Au  0.218  0.496  0.249
Au  0.362  0.132  0.280
Au  0.862  0.368  0.220
Au  0.718  0.004  0.251
Au  0.782  0.504  0.751
Au  0.638  0.868  0.720
Au  0.138  0.632  0.780
Au  0.585  0.256  0.674
Au  0.915  0.756  0.174
Au  0.415  0.744  0.326
Au  0.085  0.244  0.826

=====

2:
CsTlAu3 after structural relaxation, computed with PBE.

Results
Total magnetization: 0.0 μB per formula unit

Cell: 5.513 5.513 5.513 Å, 90.00 90.00 90.00°
Atoms (fractional coordinates):
Cs  0.500  0.500  0.500
Tl  0.000  0.000  0.000
Au  0.000  0.500  0.000
Au  0.000  0.000  0.500
Au  0.500  0.000  0.000

=====

Relative energies with respect to the most stable structure, expressed in eV/atom: 1 0.000; 2 0.139.

=====

1:
Cs3TlAu after structural relaxation, computed with PBE.

Results
Total magnetization: 0.0 μB per formula unit

Cell: 10.651 10.651 11.116 Å, 84.77 84.77 27.34°
Atoms (fractional coordinates):
Cs  0.937  0.937  0.344
Cs  0.063  0.063  0.656
Cs  0.591  0.591  0.074
Cs  0.409  0.409  0.926
Cs  0.796  0.796  0.675
Cs  0.204  0.204  0.325
Tl  0.219  0.219  0.935
Tl  0.781  0.781  0.065
Au  0.439  0.439  0.588
Au  0.561  0.561  0.412

=====

2:
Cs3TlAu after structural relaxation, computed with PBE.

Results
Total magnetization: 0.0 μB per formula unit

Cell: 6.913 6.913 6.913 Å, 90.00 90.00 90.00°
Atoms (fractional coordinates):
Cs  0.000  0.500  0.000
Cs  0.000  0.000  0.500
Cs  0.500  0.000  0.000
Tl  0.500  0.500  0.500
Au  0.000  0.000  0.000

=====

Relative energies with respect to the most stable structure, expressed in eV/atom: 1 0.000; 2 0.110.

=====

1:
CsW3Au after structural relaxation, computed with PBE.

Results
Total magnetization: 5.3 μB per formula unit

Cell: 5.064 5.064 5.064 Å, 90.00 90.00 90.00°
Atoms (fractional coordinates):
Cs  0.500  0.500  0.500
Au  0.000  0.000  0.000
W  0.000  0.500  0.000
W  0.000  0.000  0.500
W  0.500  0.000  0.000

=====

2:
CsW3Au after structural relaxation, computed with PBE.

Results
Total magnetization: 0.0 μB per formula unit

Cell: 4.876 4.876 4.876 Å, 90.00 90.00 90.00°
Atoms (fractional coordinates):
Cs  0.000  0.000  0.000
Au  0.500  0.500  0.500
W  0.000  0.500  0.000
W  0.000  0.000  0.500
W  0.500  0.000  0.000

=====

Relative energies with respect to the most stable structure, expressed in eV/atom: 1 0.000; 2 0.989.